An optimized crystal structure of RbPm2Cu3SeS4, computed with PBE.

The structure in CIF format:
```
data_RbPm2Cu3SeS4
_chemical_formula_sum 'Rb2 Pm4 Cu6 Se2 S8'
_space_group_name_H-M_alt 'P 1'
_space_group_IT_number 1
_cell_length_a 7.303
_cell_length_b 7.303
_cell_length_c 17.153
_cell_angle_alpha 90.00
_cell_angle_beta 90.00
_cell_angle_gamma 147.83
loop_
_space_group_symop_operation_xyz
'x,y,z'
loop_
_atom_site_label
_atom_site_type_symbol
_atom_site_fract_x
_atom_site_fract_y
_atom_site_fract_z
Cu1 Cu 0.584 0.416 0.037
Cu2 Cu 0.348 0.652 0.250
Cu3 Cu 0.584 0.416 0.463
Cu4 Cu 0.416 0.584 0.537
Cu5 Cu 0.652 0.348 0.750
Cu6 Cu 0.416 0.584 0.963
Pm1 Pm 0.810 0.190 0.090
Pm2 Pm 0.810 0.190 0.410
Pm3 Pm 0.190 0.810 0.590
Pm4 Pm 0.190 0.810 0.910
Rb1 Rb 0.061 0.939 0.250
Rb2 Rb 0.939 0.061 0.750
S1 S 0.164 0.836 0.069
S2 S 0.442 0.558 0.113
S3 S 0.442 0.558 0.387
S4 S 0.164 0.836 0.431
S5 S 0.836 0.164 0.569
S6 S 0.558 0.442 0.613
S7 S 0.558 0.442 0.887
S8 S 0.836 0.164 0.931
Se1 Se 0.756 0.244 0.250
Se2 Se 0.244 0.756 0.750
```

Values from the calculation:
VASP energy in eV for the cell shown: -109.3


An optimized crystal structure of RbPm2CuSe3S, computed with PBE.

The structure in CIF format:
```
data_RbPm2CuSe3S
_chemical_formula_sum 'Rb2 Pm4 Cu2 Se6 S2'
_space_group_name_H-M_alt 'P 1'
_space_group_IT_number 1
_cell_length_a 7.541
_cell_length_b 7.541
_cell_length_c 14.444
_cell_angle_alpha 90.00
_cell_angle_beta 90.00
_cell_angle_gamma 147.85
loop_
_space_group_symop_operation_xyz
'x,y,z'
loop_
_atom_site_label
_atom_site_type_symbol
_atom_site_fract_x
_atom_site_fract_y
_atom_site_fract_z
Cu1 Cu 0.841 0.159 0.250
Cu2 Cu 0.159 0.841 0.750
Pm1 Pm 0.365 0.635 0.067
Pm2 Pm 0.365 0.635 0.433
Pm3 Pm 0.635 0.365 0.567
Pm4 Pm 0.635 0.365 0.933
Rb1 Rb 0.100 0.900 0.250
Rb2 Rb 0.900 0.100 0.750
S1 S 0.423 0.577 0.250
S2 S 0.577 0.423 0.750
Se1 Se 0.000 0.000 0.000
Se2 Se 0.735 0.265 0.114
Se3 Se 0.735 0.265 0.386
Se4 Se 0.000 0.000 0.500
Se5 Se 0.265 0.735 0.614
Se6 Se 0.265 0.735 0.886
```

Values from the calculation:
VASP energy in eV for the cell shown: -82.2


An optimized crystal structure of RbPm2Cu3Te4S, computed with PBE.

The structure in CIF format:
```
data_RbPm2Cu3Te4S
_chemical_formula_sum 'Rb2 Pm4 Cu6 Te8 S2'
_space_group_name_H-M_alt 'P 1'
_space_group_IT_number 1
_cell_length_a 8.087
_cell_length_b 8.087
_cell_length_c 17.971
_cell_angle_alpha 90.00
_cell_angle_beta 90.00
_cell_angle_gamma 148.87
loop_
_space_group_symop_operation_xyz
'x,y,z'
loop_
_atom_site_label
_atom_site_type_symbol
_atom_site_fract_x
_atom_site_fract_y
_atom_site_fract_z
Cu1 Cu 0.415 0.585 0.019
Cu2 Cu 0.669 0.331 0.250
Cu3 Cu 0.415 0.585 0.481
Cu4 Cu 0.585 0.415 0.519
Cu5 Cu 0.331 0.669 0.750
Cu6 Cu 0.585 0.415 0.981
Pm1 Pm 0.194 0.806 0.100
Pm2 Pm 0.194 0.806 0.400
Pm3 Pm 0.806 0.194 0.600
Pm4 Pm 0.806 0.194 0.900
Rb1 Rb 0.930 0.070 0.250
Rb2 Rb 0.070 0.930 0.750
S1 S 0.234 0.766 0.250
S2 S 0.766 0.234 0.750
Te1 Te 0.841 0.159 0.072
Te2 Te 0.552 0.448 0.124
Te3 Te 0.552 0.448 0.376
Te4 Te 0.841 0.159 0.428
Te5 Te 0.159 0.841 0.572
Te6 Te 0.448 0.552 0.624
Te7 Te 0.448 0.552 0.876
Te8 Te 0.159 0.841 0.928
```

Values from the calculation:
VASP energy in eV for the cell shown: -96.9


An optimized crystal structure of RbPm2Cu3TeS4, computed with PBE.

The structure in CIF format:
```
data_RbPm2Cu3TeS4
_chemical_formula_sum 'Rb2 Pm4 Cu6 Te2 S8'
_space_group_name_H-M_alt 'P 1'
_space_group_IT_number 1
_cell_length_a 7.334
_cell_length_b 7.334
_cell_length_c 17.648
_cell_angle_alpha 90.00
_cell_angle_beta 90.00
_cell_angle_gamma 147.42
loop_
_space_group_symop_operation_xyz
'x,y,z'
loop_
_atom_site_label
_atom_site_type_symbol
_atom_site_fract_x
_atom_site_fract_y
_atom_site_fract_z
Cu1 Cu 0.916 0.084 0.039
Cu2 Cu 0.154 0.846 0.250
Cu3 Cu 0.916 0.084 0.461
Cu4 Cu 0.084 0.916 0.539
Cu5 Cu 0.846 0.154 0.750
Cu6 Cu 0.084 0.916 0.961
Pm1 Pm 0.687 0.313 0.085
Pm2 Pm 0.687 0.313 0.415
Pm3 Pm 0.313 0.687 0.585
Pm4 Pm 0.313 0.687 0.915
Rb1 Rb 0.456 0.544 0.250
Rb2 Rb 0.544 0.456 0.750
S1 S 0.336 0.664 0.069
S2 S 0.059 0.941 0.109
S3 S 0.059 0.941 0.391
S4 S 0.336 0.664 0.431
S5 S 0.664 0.336 0.569
S6 S 0.941 0.059 0.609
S7 S 0.941 0.059 0.891
S8 S 0.664 0.336 0.931
Te1 Te 0.755 0.245 0.250
Te2 Te 0.245 0.755 0.750
```

Values from the calculation:
VASP energy in eV for the cell shown: -106.7


An optimized crystal structure of RbPm2CuTeS3, computed with PBE.

The structure in CIF format:
```
data_RbPm2CuTeS3
_chemical_formula_sum 'Rb2 Pm4 Cu2 Te2 S6'
_space_group_name_H-M_alt 'P 1'
_space_group_IT_number 1
_cell_length_a 7.497
_cell_length_b 7.497
_cell_length_c 14.379
_cell_angle_alpha 90.00
_cell_angle_beta 90.00
_cell_angle_gamma 147.79
loop_
_space_group_symop_operation_xyz
'x,y,z'
loop_
_atom_site_label
_atom_site_type_symbol
_atom_site_fract_x
_atom_site_fract_y
_atom_site_fract_z
Cu1 Cu 0.834 0.166 0.250
Cu2 Cu 0.166 0.834 0.750
Pm1 Pm 0.367 0.633 0.051
Pm2 Pm 0.367 0.633 0.449
Pm3 Pm 0.633 0.367 0.551
Pm4 Pm 0.633 0.367 0.949
Rb1 Rb 0.133 0.867 0.250
Rb2 Rb 0.867 0.133 0.750
S1 S 0.000 0.000 0.000
S2 S 0.748 0.252 0.109
S3 S 0.748 0.252 0.391
S4 S 0.000 0.000 0.500
S5 S 0.252 0.748 0.609
S6 S 0.252 0.748 0.891
Te1 Te 0.443 0.557 0.250
Te2 Te 0.557 0.443 0.750
```

Values from the calculation:
VASP energy in eV for the cell shown: -83.4


An optimized crystal structure of RbPm2Cu3Te4Se, computed with PBE.

The structure in CIF format:
```
data_RbPm2Cu3Te4Se
_chemical_formula_sum 'Rb2 Pm4 Cu6 Te8 Se2'
_space_group_name_H-M_alt 'P 1'
_space_group_IT_number 1
_cell_length_a 8.047
_cell_length_b 8.047
_cell_length_c 18.153
_cell_angle_alpha 90.00
_cell_angle_beta 90.00
_cell_angle_gamma 148.50
loop_
_space_group_symop_operation_xyz
'x,y,z'
loop_
_atom_site_label
_atom_site_type_symbol
_atom_site_fract_x
_atom_site_fract_y
_atom_site_fract_z
Cu1 Cu 0.915 0.085 0.020
Cu2 Cu 0.166 0.834 0.250
Cu3 Cu 0.915 0.085 0.480
Cu4 Cu 0.085 0.915 0.520
Cu5 Cu 0.834 0.166 0.750
Cu6 Cu 0.085 0.915 0.980
Pm1 Pm 0.695 0.305 0.097
Pm2 Pm 0.695 0.305 0.403
Pm3 Pm 0.305 0.695 0.597
Pm4 Pm 0.305 0.695 0.903
Rb1 Rb 0.431 0.569 0.250
Rb2 Rb 0.569 0.431 0.750
Se1 Se 0.743 0.257 0.250
Se2 Se 0.257 0.743 0.750
Te1 Te 0.342 0.658 0.072
Te2 Te 0.054 0.946 0.123
Te3 Te 0.054 0.946 0.377
Te4 Te 0.342 0.658 0.428
Te5 Te 0.658 0.342 0.572
Te6 Te 0.946 0.054 0.623
Te7 Te 0.946 0.054 0.877
Te8 Te 0.658 0.342 0.928
```

Values from the calculation:
VASP energy in eV for the cell shown: -95.3


An optimized crystal structure of RbPm2Cu3TeSe4, computed with PBE.

The structure in CIF format:
```
data_RbPm2Cu3TeSe4
_chemical_formula_sum 'Rb2 Pm4 Cu6 Te2 Se8'
_space_group_name_H-M_alt 'P 1'
_space_group_IT_number 1
_cell_length_a 7.631
_cell_length_b 7.631
_cell_length_c 17.905
_cell_angle_alpha 90.00
_cell_angle_beta 90.00
_cell_angle_gamma 147.69
loop_
_space_group_symop_operation_xyz
'x,y,z'
loop_
_atom_site_label
_atom_site_type_symbol
_atom_site_fract_x
_atom_site_fract_y
_atom_site_fract_z
Cu1 Cu 0.086 0.914 0.028
Cu2 Cu 0.844 0.156 0.250
Cu3 Cu 0.086 0.914 0.472
Cu4 Cu 0.914 0.086 0.528
Cu5 Cu 0.156 0.844 0.750
Cu6 Cu 0.914 0.086 0.972
Pm1 Pm 0.312 0.688 0.087
Pm2 Pm 0.312 0.688 0.413
Pm3 Pm 0.688 0.312 0.587
Pm4 Pm 0.688 0.312 0.913
Rb1 Rb 0.549 0.451 0.250
Rb2 Rb 0.451 0.549 0.750
Se1 Se 0.662 0.338 0.072
Se2 Se 0.944 0.056 0.113
Se3 Se 0.944 0.056 0.387
Se4 Se 0.662 0.338 0.428
Se5 Se 0.338 0.662 0.572
Se6 Se 0.056 0.944 0.613
Se7 Se 0.056 0.944 0.887
Se8 Se 0.338 0.662 0.928
Te1 Te 0.248 0.752 0.250
Te2 Te 0.752 0.248 0.750
```

Values from the calculation:
VASP energy in eV for the cell shown: -100.4


An optimized crystal structure of RbPm2CuTeSe3, computed with PBE.

The structure in CIF format:
```
data_RbPm2CuTeSe3
_chemical_formula_sum 'Rb2 Pm4 Cu2 Te2 Se6'
_space_group_name_H-M_alt 'P 1'
_space_group_IT_number 1
_cell_length_a 7.699
_cell_length_b 7.699
_cell_length_c 14.928
_cell_angle_alpha 90.00
_cell_angle_beta 90.00
_cell_angle_gamma 147.70
loop_
_space_group_symop_operation_xyz
'x,y,z'
loop_
_atom_site_label
_atom_site_type_symbol
_atom_site_fract_x
_atom_site_fract_y
_atom_site_fract_z
Cu1 Cu 0.663 0.337 0.250
Cu2 Cu 0.337 0.663 0.750
Pm1 Pm 0.134 0.866 0.056
Pm2 Pm 0.134 0.866 0.444
Pm3 Pm 0.866 0.134 0.556
Pm4 Pm 0.866 0.134 0.944
Rb1 Rb 0.376 0.624 0.250
Rb2 Rb 0.624 0.376 0.750
Se1 Se 0.500 0.500 0.000
Se2 Se 0.758 0.242 0.111
Se3 Se 0.758 0.242 0.389
Se4 Se 0.500 0.500 0.500
Se5 Se 0.242 0.758 0.611
Se6 Se 0.242 0.758 0.889
Te1 Te 0.061 0.939 0.250
Te2 Te 0.939 0.061 0.750
```

Values from the calculation:
Energy relative to the lowest polymorph listed for this composition in eV/atom: 0.015


An optimized crystal structure of RbPm2CuTeSe3, computed with PBE.

The structure in CIF format:
```
data_RbPm2CuTeSe3
_chemical_formula_sum 'Rb2 Pm4 Cu2 Te2 Se6'
_space_group_name_H-M_alt 'P 1'
_space_group_IT_number 1
_cell_length_a 7.803
_cell_length_b 7.803
_cell_length_c 14.674
_cell_angle_alpha 90.00
_cell_angle_beta 90.00
_cell_angle_gamma 147.95
loop_
_space_group_symop_operation_xyz
'x,y,z'
loop_
_atom_site_label
_atom_site_type_symbol
_atom_site_fract_x
_atom_site_fract_y
_atom_site_fract_z
Cu1 Cu 0.337 0.663 0.250
Cu2 Cu 0.663 0.337 0.750
Pm1 Pm 0.856 0.144 0.067
Pm2 Pm 0.856 0.144 0.433
Pm3 Pm 0.144 0.856 0.567
Pm4 Pm 0.144 0.856 0.933
Rb1 Rb 0.603 0.397 0.250
Rb2 Rb 0.397 0.603 0.750
Se1 Se 0.235 0.765 0.114
Se2 Se 0.924 0.076 0.250
Se3 Se 0.235 0.765 0.386
Se4 Se 0.765 0.235 0.614
Se5 Se 0.076 0.924 0.750
Se6 Se 0.765 0.235 0.886
Te1 Te 0.500 0.500 0.000
Te2 Te 0.500 0.500 0.500
```

Values from the calculation:
Energy relative to the lowest polymorph listed for this composition in eV/atom: 0.000


An optimized crystal structure of RbPm2Cu3Te5, computed with PBE.

The structure in CIF format:
```
data_RbPm2Cu3Te5
_chemical_formula_sum 'Rb2 Pm4 Cu6 Te10'
_space_group_name_H-M_alt 'P 1'
_space_group_IT_number 1
_cell_length_a 8.051
_cell_length_b 8.051
_cell_length_c 18.527
_cell_angle_alpha 90.00
_cell_angle_beta 90.00
_cell_angle_gamma 148.13
loop_
_space_group_symop_operation_xyz
'x,y,z'
loop_
_atom_site_label
_atom_site_type_symbol
_atom_site_fract_x
_atom_site_fract_y
_atom_site_fract_z
Cu1 Cu 0.414 0.586 0.023
Cu2 Cu 0.659 0.341 0.250
Cu3 Cu 0.414 0.586 0.477
Cu4 Cu 0.586 0.414 0.523
Cu5 Cu 0.341 0.659 0.750
Cu6 Cu 0.586 0.414 0.977
Pm1 Pm 0.192 0.808 0.090
Pm2 Pm 0.192 0.808 0.410
Pm3 Pm 0.808 0.192 0.590
Pm4 Pm 0.808 0.192 0.910
Rb1 Rb 0.943 0.057 0.250
Rb2 Rb 0.057 0.943 0.750
Te1 Te 0.841 0.159 0.074
Te2 Te 0.553 0.447 0.118
Te3 Te 0.247 0.753 0.250
Te4 Te 0.553 0.447 0.382
Te5 Te 0.841 0.159 0.426
Te6 Te 0.159 0.841 0.574
Te7 Te 0.447 0.553 0.618
Te8 Te 0.753 0.247 0.750
Te9 Te 0.447 0.553 0.882
Te10 Te 0.159 0.841 0.926
```

Values from the calculation:
VASP energy in eV for the cell shown: -93.4


An optimized crystal structure of PmCuS2, computed with PBE.

The structure in CIF format:
```
data_PmCuS2
_chemical_formula_sum 'Pm4 Cu4 S8'
_space_group_name_H-M_alt 'P 1'
_space_group_IT_number 1
_cell_length_a 6.913
_cell_length_b 3.845
_cell_length_c 12.081
_cell_angle_alpha 90.00
_cell_angle_beta 90.00
_cell_angle_gamma 90.00
loop_
_space_group_symop_operation_xyz
'x,y,z'
loop_
_atom_site_label
_atom_site_type_symbol
_atom_site_fract_x
_atom_site_fract_y
_atom_site_fract_z
Cu1 Cu 0.784 0.250 0.116
Cu2 Cu 0.284 0.250 0.384
Cu3 Cu 0.716 0.750 0.616
Cu4 Cu 0.216 0.750 0.884
Pm1 Pm 0.345 0.750 0.142
Pm2 Pm 0.845 0.750 0.358
Pm3 Pm 0.155 0.250 0.642
Pm4 Pm 0.655 0.250 0.858
S1 S 0.708 0.750 0.027
S2 S 0.058 0.250 0.225
S3 S 0.558 0.250 0.275
S4 S 0.208 0.750 0.473
S5 S 0.792 0.250 0.527
S6 S 0.442 0.750 0.725
S7 S 0.942 0.750 0.775
S8 S 0.292 0.250 0.973
```

Values from the calculation:
VASP energy in eV for the cell shown: -89.0


An optimized crystal structure of PmCuSb, computed with PBE.

The structure in CIF format:
```
data_PmCuSb
_chemical_formula_sum 'Pm1 Cu1 Sb1'
_space_group_name_H-M_alt 'P 1'
_space_group_IT_number 1
_cell_length_a 4.963
_cell_length_b 4.963
_cell_length_c 4.963
_cell_angle_alpha 60.00
_cell_angle_beta 60.00
_cell_angle_gamma 60.00
loop_
_space_group_symop_operation_xyz
'x,y,z'
loop_
_atom_site_label
_atom_site_type_symbol
_atom_site_fract_x
_atom_site_fract_y
_atom_site_fract_z
Cu1 Cu 0.250 0.250 0.250
Pm1 Pm 0.000 0.000 0.000
Sb1 Sb 0.750 0.750 0.750
```

Values from the calculation:
Energy relative to the lowest polymorph listed for this composition in eV/atom: 0.433